[1]
The following is a DFT calculation (PBE) of a relaxed structure of Sn2BiCl.

Properties
The value obtained for the distance to the lowest polymorph of the same formula is 0.000 eV per atom. The formation energy (no corrections) comes out at -0.20 eV per atom. The calculated volume is 27.80 Å³ per atom.

a b c (Å): 5.3975 5.3975 5.3975
angles (deg): 60.00 60.00 60.00
Element x y z (fractional)
Cl (0.0000, 0.0000, 0.0000)
Bi (0.5000, 0.5000, 0.5000)
Sn (0.2500, 0.2500, 0.2500)
Sn (0.7500, 0.7500, 0.7500)



[2]
The following is a DFT calculation (PBE) of a relaxed structure of Tb4SmDy2Y2.

Properties
The calculated volume is 32.19 Å³ per atom. The energy of formation is 0.000 eV per atom.

a b c (Å): 3.5976 9.5155 9.5673
angles (deg): 115.23 90.00 100.90
Element x y z (fractional)
Tb (0.8147, 0.6295, 0.6655)
Tb (0.1853, 0.3705, 0.3345)
Tb (0.5185, 0.0370, 0.3338)
Tb (0.4815, 0.9630, 0.6662)
Sm (0.0000, 0.0000, 0.0000)
Dy (0.3326, 0.6651, 0.9985)
Dy (0.6674, 0.3349, 0.0015)
Y (0.8521, 0.7043, 0.3331)
Y (0.1479, 0.2957, 0.6669)



[3]
The following is a DFT calculation (PBE) of a relaxed structure of Nd6Ho2Sc.

Properties
The value obtained for the distance to the lowest polymorph of the same formula is 0.059 eV per atom. The calculated volume is 32.95 Å³ per atom. The energy of formation is 0.092 eV per atom.

a b c (Å): 6.2136 10.0558 10.0558
angles (deg): 71.76 84.83 84.83
Element x y z (fractional)
Nd (0.4878, 0.6903, 0.4081)
Nd (0.0122, 0.5919, 0.3097)
Nd (0.5122, 0.3097, 0.5919)
Nd (0.9878, 0.4081, 0.6903)
Nd (0.6476, 0.0697, 0.3504)
Nd (0.8524, 0.6496, 0.9303)
Nd (0.3524, 0.9303, 0.6496)
Nd (0.1476, 0.3504, 0.0697)
Nd (0.3246, 0.7534, 0.0242)
Nd (0.1754, 0.9758, 0.2466)
Nd (0.6754, 0.2466, 0.9758)
Nd (0.8246, 0.0242, 0.7534)
Ho (0.4257, 0.5676, 0.7726)
Ho (0.0743, 0.2274, 0.4324)
Ho (0.5743, 0.4324, 0.2274)
Ho (0.9257, 0.7726, 0.5676)
Sc (0.2500, 0.1068, 0.8932)
Sc (0.7500, 0.8932, 0.1068)



[4]
The following is a DFT calculation (PBE) of a relaxed structure of Cs2SrBe.

Properties
The calculated volume is 60.26 Å³ per atom. The energy of formation is 0.874 eV per atom.

a b c (Å): 6.9854 6.9854 6.9854
angles (deg): 60.00 60.00 60.00
Element x y z (fractional)
Cs (0.2500, 0.2500, 0.2500)
Cs (0.7500, 0.7500, 0.7500)
Sr (0.5000, 0.5000, 0.5000)
Be (0.0000, 0.0000, 0.0000)



Question: What is the formula in the third record?
Answer: Nd6Ho2Sc